This record from Alexandria describes Er4AsPb2 after structural relaxation. The functional is GGA-PBE.

Results
As for the formation enthalpy at 0 K: -0.561 eV/atom. The calculation puts the raw total energy at -4.89 eV/atom.

Structure (extended XYZ):
```
14
Lattice="0.066 6.425 -1.497 -6.221 -0.392 -1.959 -2.835 -1.256 9.256" Properties=species:S:1:pos:R:3 pbc="T T T"
Er -3.785 2.715 0.657
Er -7.098 -0.992 6.396
Er -1.892 5.768 -0.595
Er -0.719 2.908 1.622
Er -3.120 5.043 3.449
Er -8.271 1.868 4.179
Er -5.206 2.062 5.144
Er -5.870 -0.266 2.352
As -5.099 0.426 -0.236
As -3.891 4.350 6.037
Pb -4.744 3.986 -2.076
Pb -4.246 0.790 7.877
Pb -2.821 1.236 3.262
Pb -6.169 3.541 2.539
```